# ScZnCoIr | Alexandria via LeMat-Bulk | PBE | optimized geometry
data_ScZnCoIr
_cell_length_a 6.1517
_cell_length_b 6.1517
_cell_length_c 6.1517
_cell_angle_alpha 90.00
_cell_angle_beta 90.00
_cell_angle_gamma 90.00
_symmetry_space_group_name_H-M 'F -4 3 m'
_symmetry_Int_Tables_number 216
_symmetry_space_group_name_Hall 'F -4 2 3'
loop_
_atom_site_label
_atom_site_fract_x
_atom_site_fract_y
_atom_site_fract_z
_atom_site_occupancy
Sc1 0.0000 0.0000 0.0000 1
Zn1 0.0000 0.0000 0.5000 1
Co1 0.2500 0.2500 0.7500 1
Ir1 0.2500 0.2500 0.2500 1
# V   232.8 Å³/cell
# Calculated density   10.3 g/cm³
# Calculated total energy   -6.285 eV per atom
# M_tot   0.01 μB/cell
# Formation enthalpy at 0 K   -392 meV per atom